# 1
Material: Na3BBr6
Method: DFT, PBE
State: relaxed

Calculated values
Density in Mg/m³: 2.627
SG: Cmc2_1 (36)
Formation energy (no corrections) in meV per atom: -1077

Cell lengths 9.6805, 9.6805, 7.7495 Å; angles 90.00, 90.00, 103.27 degrees
Fractional positions:
Na1 0.0554 0.9446 0.5000
Na2 0.1558 0.3661 0.4366
Na3 0.3661 0.1558 0.9366
Na4 0.6339 0.8442 0.4366
Na5 0.8442 0.6339 0.9366
Na6 0.9446 0.0554 0.0000
B1 0.3001 0.6999 0.6866
B2 0.6999 0.3001 0.1866
Br1 0.0933 0.6301 0.6049
Br2 0.1393 0.1930 0.7307
Br3 0.1930 0.1393 0.2307
Br4 0.3117 0.6883 0.9430
Br5 0.3699 0.9067 0.6049
Br6 0.4203 0.5797 0.5661
Br7 0.5797 0.4203 0.0661
Br8 0.6301 0.0933 0.1049
Br9 0.6883 0.3117 0.4430
Br10 0.8070 0.8607 0.7307
Br11 0.8607 0.8070 0.2307
Br12 0.9067 0.3699 0.1049

# 2
Material: LiUGeO6
Method: DFT, PBE
State: relaxed

Calculated values
Density in Mg/m³: 6.115
SG: P-31c (163)
Formation energy (no corrections) in meV per atom: -2023

Cell lengths 5.2792, 5.2792, 9.3068 Å; angles 90.00, 90.00, 120.00 degrees
Fractional positions:
Li1 0.0000 0.0000 0.0000
Li2 0.0000 0.0000 0.5000
U1 0.3333 0.6667 0.2500
U2 0.6667 0.3333 0.7500
Ge1 0.3333 0.6667 0.7500
Ge2 0.6667 0.3333 0.2500
O1 0.0231 0.3669 0.6372
O2 0.0231 0.6562 0.8628
O3 0.3438 0.3669 0.8628
O4 0.3438 0.9769 0.6372
O5 0.3669 0.0231 0.1372
O6 0.3669 0.3438 0.3628
O7 0.6331 0.6562 0.6372
O8 0.6331 0.9769 0.8628
O9 0.6562 0.0231 0.3628
O10 0.6562 0.6331 0.1372
O11 0.9769 0.3438 0.1372
O12 0.9769 0.6331 0.3628

# 3
Material: Na2ZrCd2
Method: DFT, PBE
State: relaxed

Calculated values
Polymorph energy (0 for the lowest one) in eV/atom: 0.0000
Density in Mg/m³: 4.956
Calculated formation energy in eV/atom: 0.26
SG: I4/mmm (139)

Cell lengths 3.9891, 3.9891, 15.2456 Å; angles 90.00, 90.00, 90.00 degrees
Fractional positions:
Na1 0.0000 0.5000 0.2500
Na2 0.0000 0.5000 0.7500
Na3 0.5000 0.0000 0.2500
Na4 0.5000 0.0000 0.7500
Zr1 0.0000 0.0000 0.0000
Zr2 0.5000 0.5000 0.5000
Cd1 0.0000 0.0000 0.4070
Cd2 0.0000 0.0000 0.5930
Cd3 0.5000 0.5000 0.0930
Cd4 0.5000 0.5000 0.9070

# 4
Material: CeNpPO2
Method: DFT, PBE
State: relaxed

Calculated values
Density in Mg/m³: 8.576
SG: I4mm (107)
Formation energy (no corrections) in meV per atom: -2399

Cell lengths 3.7768, 3.7768, 11.9477 Å; angles 90.00, 90.00, 90.00 degrees
Fractional positions:
Ce1 0.0000 0.0000 0.0000
Ce2 0.5000 0.5000 0.5000
Np1 0.0000 0.0000 0.2803
Np2 0.5000 0.5000 0.7803
P1 0.0000 0.0000 0.6448
P2 0.5000 0.5000 0.1448
O1 0.0000 0.5000 0.3874
O2 0.0000 0.5000 0.8874
O3 0.5000 0.0000 0.3874
O4 0.5000 0.0000 0.8874

# 5
Material: Li2CaPmHg4
Method: DFT, PBE
State: relaxed

Calculated values
Density in Mg/m³: 8.774
Calculated formation energy in eV/atom: -0.43
SG: R-3m (166)

Cell lengths 8.9520, 8.9520, 8.9520 Å; angles 33.01, 33.01, 33.01 degrees
Fractional positions:
Li1 0.2494 0.2494 0.2494
Li2 0.7506 0.7506 0.7506
Ca1 0.5000 0.5000 0.5000
Pm1 0.0000 0.0000 0.0000
Hg1 0.1234 0.1234 0.1234
Hg2 0.3765 0.3765 0.3765
Hg3 0.6235 0.6235 0.6235
Hg4 0.8766 0.8766 0.8766

# 6
Material: Y3BeSe2
Method: DFT, PBE
State: relaxed

Calculated values
Density in Mg/m³: 5.053
SG: C2/m (12)
Formation energy (no corrections) in meV per atom: -1150

Cell lengths 6.9535, 6.9535, 7.1941 Å; angles 99.29, 99.29, 120.04 degrees
Fractional positions:
Y1 0.0789 0.4199 0.7601
Y2 0.2376 0.2376 0.2380
Y3 0.4199 0.0789 0.7601
Y4 0.5801 0.9211 0.2399
Y5 0.7624 0.7624 0.7620
Y6 0.9211 0.5801 0.2399
Be1 0.1677 0.8323 0.0000
Be2 0.8323 0.1677 0.0000
Se1 0.0000 0.0000 0.5000
Se2 0.3383 0.6617 0.5000
Se3 0.5000 0.5000 0.0000
Se4 0.6617 0.3383 0.5000

# 7
Material: Na3NbF6
Method: DFT, PBE
State: relaxed

Calculated values
Density in Mg/m³: 2.911
SG: Fm-3m (225)
Formation energy (no corrections) in meV per atom: -2589

Cell lengths 6.0599, 6.0599, 6.0599 Å; angles 60.00, 60.00, 60.00 degrees
Fractional positions:
Na1 0.0000 0.0000 0.0000
Na2 0.2500 0.2500 0.2500
Na3 0.7500 0.7500 0.7500
Nb1 0.5000 0.5000 0.5000
F1 0.2561 0.2561 0.7439
F2 0.2561 0.7439 0.2561
F3 0.2561 0.7439 0.7439
F4 0.7439 0.2561 0.2561
F5 0.7439 0.2561 0.7439
F6 0.7439 0.7439 0.2561

# 8
Material: ScTcTeH2
Method: DFT, PBE
State: relaxed

Calculated values
Density in Mg/m³: 5.507
SG: P4/mmm (123)
E_tot in eV/cell: -25.53

Cell lengths 3.7909, 3.7909, 5.7194 Å; angles 90.00, 90.00, 90.00 degrees
Fractional positions:
Sc1 0.0000 0.0000 0.0000
Tc1 0.0000 0.0000 0.5000
Te1 0.5000 0.5000 0.5000
H1 0.0000 0.5000 0.0000
H2 0.5000 0.0000 0.0000

Question: Among the records above, which one has the highest density?
Answer: Li2CaPmHg4

Question: Which of these has the lowest density?
Answer: Na3BBr6